{"formula": "MnPtS2", "functional": "PBE-GGA", "state": "relaxed", "formation_energy_uncorrected_ev_per_atom": -0.383, "sg": "R-3m", "n_ef_per_ev_cell": 1.7, "volume_a3_per_atom": 15.82, "crystal_system": "trigonal", "lattice": [[-5.629, 4.140, 2.706], [-6.520, 1.201, 3.493], [-4.474, 2.783, 5.329]], "species": ["S", "Pt", "Mn", "S"], "frac_coords": [[0.896, 0.896, 0.896], [0.000, 0.000, 0.000], [0.500, 0.500, 0.500], [0.104, 0.104, 0.104]]}